Here is a relaxed structure of P2OsW from Alexandria via LeMat-Bulk. Energies are from GGA-PBE.

```
P2OsW
1.0
3.810 0.000 0.000
0.000 3.810 0.000
0.000 0.000 7.749
P Os W
4 2 2
Direct
0.000 0.000 0.000 P
0.000 0.500 0.250 P
0.500 0.000 0.750 P
0.500 0.500 0.500 P
0.000 0.000 0.500 Os
0.500 0.500 0.000 Os
0.000 0.500 0.750 W
0.500 0.000 0.250 W
```

- Uncorrected energy: -8.3758 eV/atom
- Magnetization: 0.0 Bohr magnetons per cell
- Space group: I-4m2, No. 119
- Density: 12.88 Mg/m³